Density functional theory data (PBE) for crystalline KTiCo2H at its relaxed geometry.

The structure in CIF format:
```
data_KTiCo2H
_symmetry_space_group_name_H-M 'P 1'
_symmetry_Int_Tables_number 1
_cell_length_a 4.8458
_cell_length_b 4.8458
_cell_length_c 3.3822
_cell_angle_alpha 90.00
_cell_angle_beta 90.00
_cell_angle_gamma 90.00
loop_
_symmetry_equiv_pos_as_xyz
'x,y,z'
loop_
_atom_site_label
_atom_site_type_symbol
_atom_site_fract_x
_atom_site_fract_y
_atom_site_fract_z
_atom_site_occupancy
K1 K 0.0000 0.0000 0.0000 1
Ti1 Ti 0.5000 0.5000 0.5000 1
Co1 Co 0.0000 0.5000 0.0000 1
Co2 Co 0.5000 0.0000 0.0000 1
H1 H 0.0000 0.0000 0.5000 1
```

Properties
DOS(E_F): 0.79 states/eV per atom
uncorrected energy: -17.14 eV/cell
space-group type: P4/mmm (123)

***

Density functional theory data (PBE) for crystalline K2TlCoH6 at its relaxed geometry.

The structure in CIF format:
```
data_K2TlCoH6
_symmetry_space_group_name_H-M 'P 1'
_symmetry_Int_Tables_number 1
_cell_length_a 5.6106
_cell_length_b 5.6106
_cell_length_c 6.4563
_cell_angle_alpha 90.00
_cell_angle_beta 90.00
_cell_angle_gamma 120.00
loop_
_symmetry_equiv_pos_as_xyz
'x,y,z'
loop_
_atom_site_label
_atom_site_type_symbol
_atom_site_fract_x
_atom_site_fract_y
_atom_site_fract_z
_atom_site_occupancy
K1 K 0.3333 0.6667 0.1376 1
K2 K 0.6667 0.3333 0.8624 1
Tl1 Tl 0.0000 0.0000 0.5000 1
Co1 Co 0.0000 0.0000 0.0000 1
H1 H 0.1311 0.2621 0.8589 1
H2 H 0.1311 0.8689 0.8589 1
H3 H 0.2621 0.1311 0.1411 1
H4 H 0.7379 0.8689 0.8589 1
H5 H 0.8689 0.1311 0.1411 1
H6 H 0.8689 0.7379 0.1411 1
```

Properties
uncorrected energy: -32.43 eV/cell
space-group type: P-3m1 (164)

***

Density functional theory data (PBE) for crystalline KTlCo2H at its relaxed geometry.

The structure in CIF format:
```
data_KTlCo2H
_symmetry_space_group_name_H-M 'P 1'
_symmetry_Int_Tables_number 1
_cell_length_a 5.1933
_cell_length_b 5.1933
_cell_length_c 4.0293
_cell_angle_alpha 90.00
_cell_angle_beta 90.00
_cell_angle_gamma 90.00
loop_
_symmetry_equiv_pos_as_xyz
'x,y,z'
loop_
_atom_site_label
_atom_site_type_symbol
_atom_site_fract_x
_atom_site_fract_y
_atom_site_fract_z
_atom_site_occupancy
K1 K 0.0000 0.0000 0.0000 1
Tl1 Tl 0.5000 0.5000 0.5000 1
Co1 Co 0.0000 0.5000 0.0000 1
Co2 Co 0.5000 0.0000 0.0000 1
H1 H 0.0000 0.0000 0.5000 1
```

Properties
DOS(E_F): 1.14 states/eV per atom
uncorrected energy: -12.18 eV/cell
space-group type: P4/mmm (123)

***

Density functional theory data (PBE) for crystalline KZn2CoH8 at its relaxed geometry.

The structure in CIF format:
```
data_KZn2CoH8
_symmetry_space_group_name_H-M 'P 1'
_symmetry_Int_Tables_number 1
_cell_length_a 4.3190
_cell_length_b 5.2955
_cell_length_c 5.3791
_cell_angle_alpha 91.32
_cell_angle_beta 90.14
_cell_angle_gamma 92.66
loop_
_symmetry_equiv_pos_as_xyz
'x,y,z'
loop_
_atom_site_label
_atom_site_type_symbol
_atom_site_fract_x
_atom_site_fract_y
_atom_site_fract_z
_atom_site_occupancy
K1 K 0.0000 0.0000 0.0000 1
Zn1 Zn 0.4970 0.7560 0.4958 1
Zn2 Zn 0.5030 0.2440 0.5042 1
Co1 Co 0.0000 0.5000 0.5000 1
H1 H 0.0827 0.2203 0.4969 1
H2 H 0.2015 0.5663 0.2751 1
H3 H 0.2104 0.5736 0.7214 1
H4 H 0.4997 0.0041 0.7285 1
H5 H 0.5003 0.9959 0.2715 1
H6 H 0.7896 0.4264 0.2786 1
H7 H 0.7985 0.4337 0.7249 1
H8 H 0.9173 0.7797 0.5031 1
```

Properties
DOS(E_F): 0.00 states/eV per atom
uncorrected energy: -38.65 eV/cell
space-group type: P-1 (2)

***

Density functional theory data (PBE) for crystalline LaCo2H8 at its relaxed geometry.

The structure in CIF format:
```
data_LaCo2H8
_symmetry_space_group_name_H-M 'P 1'
_symmetry_Int_Tables_number 1
_cell_length_a 4.4748
_cell_length_b 4.5010
_cell_length_c 4.5010
_cell_angle_alpha 119.99
_cell_angle_beta 90.00
_cell_angle_gamma 90.00
loop_
_symmetry_equiv_pos_as_xyz
'x,y,z'
loop_
_atom_site_label
_atom_site_type_symbol
_atom_site_fract_x
_atom_site_fract_y
_atom_site_fract_z
_atom_site_occupancy
La1 La 0.0000 0.0000 0.0000 1
Co1 Co 0.5000 0.3757 0.7200 1
Co2 Co 0.5000 0.7200 0.3757 1
H1 H 0.2615 0.0339 0.4827 1
H2 H 0.2615 0.4827 0.0339 1
H3 H 0.2737 0.5061 0.5061 1
H4 H 0.5000 0.0319 0.7650 1
H5 H 0.5000 0.7650 0.0319 1
H6 H 0.7263 0.5061 0.5061 1
H7 H 0.7385 0.0339 0.4827 1
H8 H 0.7385 0.4827 0.0339 1
```

Properties
DOS(E_F): 0.13 states/eV per atom
uncorrected energy: -48.70 eV/cell
energy relative to the lowest polymorph listed for this composition: 0.000 eV per atom
space-group type: Amm2 (38)

***

Density functional theory data (PBE) for crystalline La2CoH2 at its relaxed geometry.

The structure in CIF format:
```
data_La2CoH2
_symmetry_space_group_name_H-M 'P 1'
_symmetry_Int_Tables_number 1
_cell_length_a 7.1461
_cell_length_b 7.1461
_cell_length_c 7.1461
_cell_angle_alpha 150.74
_cell_angle_beta 150.74
_cell_angle_gamma 41.85
loop_
_symmetry_equiv_pos_as_xyz
'x,y,z'
loop_
_atom_site_label
_atom_site_type_symbol
_atom_site_fract_x
_atom_site_fract_y
_atom_site_fract_z
_atom_site_occupancy
La1 La 0.1303 0.1303 0.0000 1
La2 La 0.8697 0.8697 0.0000 1
Co1 Co 0.5000 0.5000 0.0000 1
H1 H 0.2500 0.7500 0.5000 1
H2 H 0.7500 0.2500 0.5000 1
```

Properties
DOS(E_F): 0.49 states/eV per atom
uncorrected energy: -25.16 eV/cell
energy relative to the lowest polymorph listed for this composition: 0.000 eV per atom
space-group type: I4/mmm (139)

***

Density functional theory data (PBE) for crystalline La2CoH at its relaxed geometry.

The structure in CIF format:
```
data_La2CoH
_symmetry_space_group_name_H-M 'P 1'
_symmetry_Int_Tables_number 1
_cell_length_a 7.2063
_cell_length_b 7.2063
_cell_length_c 7.2063
_cell_angle_alpha 31.19
_cell_angle_beta 31.19
_cell_angle_gamma 31.19
loop_
_symmetry_equiv_pos_as_xyz
'x,y,z'
loop_
_atom_site_label
_atom_site_type_symbol
_atom_site_fract_x
_atom_site_fract_y
_atom_site_fract_z
_atom_site_occupancy
La1 La 0.0000 0.0000 0.0000 1
La2 La 0.1770 0.1770 0.1770 1
Co1 Co 0.5886 0.5886 0.5886 1
H1 H 0.4188 0.4188 0.4188 1
```

Properties
DOS(E_F): 0.31 states/eV per atom
uncorrected energy: -20.97 eV/cell
energy relative to the lowest polymorph listed for this composition: 0.076 eV per atom
space-group type: R3m (160)

***

Density functional theory data (PBE) for crystalline LaCo2H6 at its relaxed geometry.

The structure in CIF format:
```
data_LaCo2H6
_symmetry_space_group_name_H-M 'P 1'
_symmetry_Int_Tables_number 1
_cell_length_a 4.4606
_cell_length_b 4.4606
_cell_length_c 4.3404
_cell_angle_alpha 90.00
_cell_angle_beta 90.00
_cell_angle_gamma 120.00
loop_
_symmetry_equiv_pos_as_xyz
'x,y,z'
loop_
_atom_site_label
_atom_site_type_symbol
_atom_site_fract_x
_atom_site_fract_y
_atom_site_fract_z
_atom_site_occupancy
La1 La 0.0000 0.0000 0.0000 1
Co1 Co 0.3333 0.6667 0.5000 1
Co2 Co 0.6667 0.3333 0.5000 1
H1 H 0.0000 0.5000 0.2628 1
H2 H 0.0000 0.5000 0.7372 1
H3 H 0.5000 0.0000 0.2628 1
H4 H 0.5000 0.0000 0.7372 1
H5 H 0.5000 0.5000 0.2628 1
H6 H 0.5000 0.5000 0.7372 1
```

Properties
DOS(E_F): 0.39 states/eV per atom
uncorrected energy: -42.45 eV/cell
space-group type: P6/mmm (191)

***

Density functional theory data (PBE) for crystalline LaCo5H11 at its relaxed geometry.

The structure in CIF format:
```
data_LaCo5H11
_symmetry_space_group_name_H-M 'P 1'
_symmetry_Int_Tables_number 1
_cell_length_a 5.3044
_cell_length_b 5.3044
_cell_length_c 4.8628
_cell_angle_alpha 107.58
_cell_angle_beta 107.58
_cell_angle_gamma 93.51
loop_
_symmetry_equiv_pos_as_xyz
'x,y,z'
loop_
_atom_site_label
_atom_site_type_symbol
_atom_site_fract_x
_atom_site_fract_y
_atom_site_fract_z
_atom_site_occupancy
La1 La 0.0000 0.0000 0.0000 1
Co1 Co 0.0185 0.3711 0.6972 1
Co2 Co 0.3711 0.0185 0.6972 1
Co3 Co 0.5000 0.5000 0.0000 1
Co4 Co 0.6289 0.9815 0.3028 1
Co5 Co 0.9815 0.6289 0.3028 1
H1 H 0.0000 0.0000 0.5000 1
H2 H 0.1554 0.6515 0.6481 1
H3 H 0.1911 0.4806 0.0776 1
H4 H 0.3060 0.3060 0.6308 1
H5 H 0.3485 0.8446 0.3519 1
H6 H 0.4806 0.1911 0.0776 1
H7 H 0.5194 0.8089 0.9224 1
H8 H 0.6515 0.1554 0.6481 1
H9 H 0.6940 0.6940 0.3692 1
H10 H 0.8089 0.5194 0.9224 1
H11 H 0.8446 0.3485 0.3519 1
```

Properties
DOS(E_F): 0.80 states/eV per atom
uncorrected energy: -77.21 eV/cell
space-group type: C2/m (12)

***

Density functional theory data (PBE) for crystalline LaCoH2 at its relaxed geometry.

The structure in CIF format:
```
data_LaCoH2
_symmetry_space_group_name_H-M 'P 1'
_symmetry_Int_Tables_number 1
_cell_length_a 6.0052
_cell_length_b 6.0052
_cell_length_c 6.0052
_cell_angle_alpha 138.50
_cell_angle_beta 138.50
_cell_angle_gamma 60.14
loop_
_symmetry_equiv_pos_as_xyz
'x,y,z'
loop_
_atom_site_label
_atom_site_type_symbol
_atom_site_fract_x
_atom_site_fract_y
_atom_site_fract_z
_atom_site_occupancy
La1 La 0.3750 0.6250 0.7500 1
La2 La 0.6250 0.3750 0.2500 1
Co1 Co 0.1250 0.8750 0.2500 1
Co2 Co 0.8750 0.1250 0.7500 1
H1 H 0.0000 0.0000 0.0000 1
H2 H 0.0000 0.0000 0.5000 1
H3 H 0.0000 0.5000 0.0000 1
H4 H 0.5000 0.0000 0.5000 1
```

Properties
DOS(E_F): 0.42 states/eV per atom
uncorrected energy: -39.43 eV/cell
energy relative to the lowest polymorph listed for this composition: 0.000 eV per atom
space-group type: I4_1/amd (141)